Density functional theory data (GGA-PBE) for a geometry-optimized SiTcTe structure.

Lattice parameters (Å, degrees): 4.2855 4.2855 3.4842 90.00 90.00 120.00
Element x y z (fractional)
Te1 0.3333 0.6667 0.6668
Si1 0.0000 0.0000 0.1666
Tc1 0.6667 0.3333 0.1666

**Total magnetic moment**: 0.000 Bohr magnetons per cell
**VASP energy**: -5.9425 eV/atom
**Energy above the lowest structure with this stoichiometry**: 26.63 kJ/mol of atoms
**E_form (uncorrected)**: 368 meV per atom
**V**: 55.4 Å³/cell